! FeRe2W (PBE, relaxed); values from VASP
&SYSTEM
  ibrav = 0, nat = 4, ntyp = 3
/
ATOMIC_SPECIES
Fe 55.84 Fe.upf
Re 186.21 Re.upf
W 183.84 W.upf
CELL_PARAMETERS angstrom
2.7342 -3.8598 0.0000
2.7342 3.8598 0.0000
0.0000 0.0000 2.7626
ATOMIC_POSITIONS angstrom
Fe 0.0000 0.0000 0.0000
Re 1.3671 1.9299 1.3813
Re 1.3671 -1.9299 1.3813
W 2.7342 0.0000 0.0000
! Calculated formation energy   0.1981 eV/atom
! Raw total energy   -11.3800 eV/atom
! Crystal system   orthorhombic
! Size of the total moment   0.35 μB per atom

***

! ZnFeReW (PBE, relaxed); values from VASP
&SYSTEM
  ibrav = 0, nat = 4, ntyp = 4
/
ATOMIC_SPECIES
Zn 65.41 Zn.upf
Fe 55.84 Fe.upf
Re 186.21 Re.upf
W 183.84 W.upf
CELL_PARAMETERS angstrom
0.0000 3.0384 3.0384
3.0384 0.0000 3.0384
3.0384 3.0384 0.0000
ATOMIC_POSITIONS angstrom
Zn 0.0000 0.0000 0.0000
Fe 1.5192 1.5192 1.5192
Re 4.5576 4.5576 4.5576
W 3.0384 3.0384 3.0384
! Calculated formation energy   0.1866 eV/atom
! Raw total energy   -8.5979 eV/atom
! Crystal system   cubic
! Size of the total moment   0.19 μB per atom

***

! ZnFeRe2W (PBE, relaxed); values from VASP
&SYSTEM
  ibrav = 0, nat = 5, ntyp = 4
/
ATOMIC_SPECIES
Zn 65.41 Zn.upf
Fe 55.84 Fe.upf
Re 186.21 Re.upf
W 183.84 W.upf
CELL_PARAMETERS angstrom
4.3932 0.0000 0.0000
0.0000 4.3932 0.0000
0.0000 0.0000 4.2614
ATOMIC_POSITIONS angstrom
Zn 0.0000 0.0000 0.0000
Fe 0.0000 0.0000 2.1307
Re 0.0000 2.1966 2.1307
Re 2.1966 0.0000 2.1307
W 2.1966 2.1966 0.0000
! Calculated formation energy   1.4869 eV/atom
! Raw total energy   -8.0304 eV/atom
! Crystal system   tetragonal
! Size of the total moment   0.00 μB per atom